DFT (PBE with a Hubbard U) results for a relaxed structure of Na2CrRh2O6.

a = 5.3830 Å, b = 8.9272 Å, c = 5.7590 Å
α = 90.00°, β = 107.46°, γ = 90.00°
With the nearest neighbours (Å) after each atom.
Space group C2/m (No. 12)
Inequivalent atoms, fractional coordinates:
1 Na 0.0000 0.1741 0.0000  6 O 2.39-2.45
2 Cr 0.0000 0.0000 0.5000  6 O 2.01-2.03
3 Rh 0.0000 0.3403 0.5000  6 O 2.05-2.08
4 O 0.2240 0.1688 0.6876  1 Cr 2.03, 2 Rh 2.05-2.08
5 O 0.2451 0.0000 0.2971  1 Cr 2.01, 2 Rh 2.08

Values from the calculation:
E = -6.1789 eV per atom